No. 1
Here is a relaxed MgSc2Br crystal from Alexandria via LeMat-Bulk. Energies are from PBEsol.

- E_form (uncorrected): -293 meV/atom

Geometry as CIF:
```
data_MgSc2Br
_chemical_formula_sum 'Mg1 Sc2 Br1'
_cell_length_a 3.350
_cell_length_b 4.565
_cell_length_c 6.056
_cell_angle_alpha 90.00
_cell_angle_beta 105.92
_cell_angle_gamma 90.00
_symmetry_space_group_name_H-M 'P 1 2/m 1'
_symmetry_Int_Tables_number 10
_symmetry_space_group_name_Hall '-P 2y'
loop_
_atom_site_label
_atom_site_type_symbol
_atom_site_fract_x
_atom_site_fract_y
_atom_site_fract_z
Mg1 Mg 0.000 0.000 0.000
Sc1 Sc 0.382 0.500 0.737
Br1 Br 0.500 0.000 0.500
```

No. 2
Here is a relaxed AlTl2Pb crystal from Alexandria via LeMat-Bulk. Energies are from PBEsol.

- Energy above the most stable polymorph in this dataset: 0.000 eV/atom
- ΔE_f: 0.19 eV per atom

Geometry as CIF:
```
data_AlTl2Pb
_chemical_formula_sum 'Al1 Tl2 Pb1'
_cell_length_a 3.584
_cell_length_b 5.263
_cell_length_c 5.564
_cell_angle_alpha 90.00
_cell_angle_beta 90.00
_cell_angle_gamma 90.00
_symmetry_space_group_name_H-M 'P m m m'
_symmetry_Int_Tables_number 47
_symmetry_space_group_name_Hall '-P 2 2'
loop_
_atom_site_label
_atom_site_type_symbol
_atom_site_fract_x
_atom_site_fract_y
_atom_site_fract_z
Al1 Al 0.000 0.000 0.000
Tl1 Tl 0.000 0.500 0.500
Tl2 Tl 0.500 0.000 0.500
Pb1 Pb 0.500 0.500 0.000
```